# 1
# TlPb3F6

A relaxed structure of TlPb3F6 (PBE, Alexandria).

Cell lengths 10.1828, 4.0264, 10.3441 Å; angles 90.00, 104.09, 90.00 degrees
Space group P2_1/m (No. 11)
Symmetry-distinct sites (fractional):
Tl  0.1840  0.2500  0.0596
Pb  0.0380  0.2500  0.6893
Pb  0.3229  0.2500  0.4113
Pb  0.4427  0.7500  0.8242
F  0.0543  0.7500  0.8341
F  0.0933  0.2500  0.4525
F  0.1924  0.7500  0.2795
F  0.2981  0.2500  0.7843
F  0.4062  0.7500  0.5537
F  0.4147  0.7500  0.0487

The energy relative to the elements, uncorrected comes out at -2021 meV/atom. The density of states at the Fermi level comes out at 0.219 states/eV/atom.


# 2
# La6RuRh2Cl2

A relaxed structure of La6RuRh2Cl2 (PBE, Alexandria).

Cell lengths 7.2158, 12.5505, 7.8123 Å; angles 90.00, 107.81, 90.00 degrees
Space group C2/m (No. 12)
Symmetry-distinct sites (fractional):
La  0.2334  0.1646  0.2095
La  0.2430  0.5000  0.2085
Ru  0.0000  0.0000  0.0000
Rh  0.0000  0.3304  0.0000
Cl  0.0000  0.1647  0.5000

The energy relative to the elements, uncorrected comes out at -983 meV/atom. The density of states at the Fermi level comes out at 0.535 states/eV/atom.


# 3
# YAl3F

A relaxed structure of YAl3F (PBE, Alexandria).

Cell lengths 5.8240, 5.8240, 5.8240 Å; angles 90.00, 90.00, 90.00 degrees
Space group Pm-3m (No. 221)
Symmetry-distinct sites (fractional):
Y  0.0000  0.0000  0.0000
Al  0.0000  0.0000  0.5000
F  0.5000  0.5000  0.5000

Its energy above the most stable polymorph in this dataset is 1.507 eV/atom. The energy relative to the elements, uncorrected comes out at 858 meV/atom. The density of states at the Fermi level comes out at 1.176 states/eV/atom.


# 4
# Na2Ho2RuO6

A relaxed structure of Na2Ho2RuO6 (PBE, Alexandria).

Cell lengths 5.7097, 9.8668, 5.8756 Å; angles 90.00, 105.29, 90.00 degrees
Space group C2/m (No. 12)
Symmetry-distinct sites (fractional):
Na  0.0000  0.1479  0.0000
Ho  0.0000  0.3371  0.5000
Ru  0.0000  0.0000  0.5000
O  0.2014  0.1571  0.6925
O  0.2487  0.0000  0.2986

The energy relative to the elements, uncorrected comes out at -2243 meV/atom. The density of states at the Fermi level comes out at 0.569 states/eV/atom.


# 5
# Pr2PuSc

A relaxed structure of Pr2PuSc (PBE, Alexandria).

Cell lengths 3.5392, 3.5392, 9.8919 Å; angles 90.00, 90.00, 90.00 degrees
Space group P4/mmm (No. 123)
Symmetry-distinct sites (fractional):
Pr  0.0000  0.0000  0.2412
Pu  0.5000  0.5000  0.5000
Sc  0.5000  0.5000  0.0000

Its energy above the most stable polymorph in this dataset is 0.000 eV/atom. The density of states at the Fermi level comes out at 2.141 states/eV/atom. The energy of formation from the pure elements is 134 meV per atom.


# 6
# Cs2NpTlBr6

A relaxed structure of Cs2NpTlBr6 (PBE, Alexandria).

Cell lengths 8.3414, 12.1572, 9.0528 Å; angles 90.00, 90.00, 90.00 degrees
Space group Pmmn (No. 59, origin choice 2)
Symmetry-distinct sites (fractional):
Cs  0.2500  0.0331  0.1995
Np  0.2500  0.7500  0.7843
Tl  0.2500  0.2500  0.7108
Br  0.0082  0.2500  0.4260
Br  0.0094  0.7500  0.0152
Br  0.2500  0.5126  0.7898

The energy relative to the elements, uncorrected comes out at -1443 meV/atom. The density of states at the Fermi level comes out at 0.626 states/eV/atom.


# 7
# PbAu

A relaxed structure of PbAu (PBE, Alexandria).

Cell lengths 11.2737, 3.6125, 5.0693 Å; angles 90.00, 108.81, 90.00 degrees
Space group C2/m (No. 12)
Symmetry-distinct sites (fractional):
Pb  0.1076  0.0000  0.3266
Au  0.1475  0.5000  0.8484

The density of states at the Fermi level comes out at 0.273 states/eV/atom. The energy of formation from the pure elements is -11 meV per atom.


# 8
# Er8Ni2Hg

A relaxed structure of Er8Ni2Hg (PBE, Alexandria).

Cell lengths 8.4262, 13.0905, 5.3506 Å; angles 90.00, 104.39, 90.00 degrees
Space group C2/m (No. 12)
Symmetry-distinct sites (fractional):
Er  0.0000  0.2435  0.0000
Er  0.1151  0.5000  0.8062
Er  0.2046  0.1295  0.5828
Ni  0.0000  0.3048  0.5000
Hg  0.0000  0.0000  0.0000

The density of states at the Fermi level comes out at 1.253 states/eV/atom. The energy of formation from the pure elements is -169 meV per atom.


# 9
# ThAg3

A relaxed structure of ThAg3 (PBE, Alexandria).

Cell lengths 6.5774, 6.5774, 4.8325 Å; angles 90.00, 90.00, 120.00 degrees
Space group P6_3/mmc (No. 194)
Symmetry-distinct sites (fractional):
Th  0.3333  0.6667  0.2500
Ag  0.1502  0.3004  0.7500

The density of states at the Fermi level comes out at 0.609 states/eV/atom. The energy of formation from the pure elements is -40 meV per atom.


# 10
# NiP2S2

A relaxed structure of NiP2S2 (PBE, Alexandria).

Cell lengths 4.4458, 4.4458, 4.3031 Å; angles 90.00, 90.00, 90.00 degrees
Space group P4/mmm (No. 123)
Symmetry-distinct sites (fractional):
Ni  0.0000  0.0000  0.0000
P  0.0000  0.0000  0.5000
P  0.5000  0.5000  0.5000
S  0.0000  0.5000  0.0000

Its energy above the most stable polymorph in this dataset is 0.000 eV/atom. The energy relative to the elements, uncorrected comes out at 776 meV/atom. The density of states at the Fermi level comes out at 0.960 states/eV/atom.


# 11
# RbCuPt3

A relaxed structure of RbCuPt3 (PBE, Alexandria).

Cell lengths 5.0869, 5.0869, 5.0869 Å; angles 90.00, 90.00, 90.00 degrees
Space group Pm-3m (No. 221)
Symmetry-distinct sites (fractional):
Rb  0.0000  0.0000  0.0000
Cu  0.5000  0.5000  0.5000
Pt  0.0000  0.0000  0.5000

Its energy above the most stable polymorph in this dataset is 1.694 eV/atom. The density of states at the Fermi level comes out at 0.502 states/eV/atom. The energy of formation from the pure elements is 2369 meV per atom.


# 12
# CdSeO4

A relaxed structure of CdSeO4 (PBE, Alexandria).

Cell lengths 6.6636, 5.0874, 5.1163 Å; angles 90.00, 90.00, 90.00 degrees
Space group Pmn2_1 (No. 31)
Symmetry-distinct sites (fractional):
Cd  0.0000  0.0976  0.0000
Se  0.0000  0.6588  0.4522
O  0.0000  0.3407  0.3792
O  0.0000  0.6941  0.7755
O  0.1969  0.8146  0.3100

The energy relative to the elements, uncorrected comes out at -834 meV/atom. The density of states at the Fermi level comes out at 0.000 states/eV/atom.